Entry 1:
Density functional theory data (PBE-GGA) for an optimized crystal structure of RbCdHg2H.

Output
DOS(E_F): 0.492 states/eV per atom
volume: 145.81 Å³ per cell
VASP energy: -1.1099 eV per atom

Geometry as CIF:
```
data_RbCdHg2H
_cell_length_a 5.993
_cell_length_b 5.993
_cell_length_c 4.059
_cell_angle_alpha 90.00
_cell_angle_beta 90.00
_cell_angle_gamma 90.00
_space_group_name_H-M_alt 'P 4/m m m'
_space_group_IT_number 123
_space_group_name_Hall '-P 4 2'
loop_
_atom_site_label
_atom_site_fract_x
_atom_site_fract_y
_atom_site_fract_z
Rb1 0.000 0.000 0.000
Cd1 0.500 0.500 0.500
Hg1 0.000 0.500 0.500
H1 0.500 0.500 0.000
```

---

Entry 2:
Density functional theory data (PBE-GGA) for an optimized crystal structure of CdHgHRh2.

Output
DOS(E_F): 0.600 states/eV per atom
volume: 70.88 Å³ per cell
offset from the most stable computed form: 0.047 eV per atom

Geometry as CIF:
```
data_CdHgHRh2
_cell_length_a 4.125
_cell_length_b 4.125
_cell_length_c 4.165
_cell_angle_alpha 90.00
_cell_angle_beta 90.00
_cell_angle_gamma 90.00
_space_group_name_H-M_alt 'P 4/m m m'
_space_group_IT_number 123
_space_group_name_Hall '-P 4 2'
loop_
_atom_site_label
_atom_site_fract_x
_atom_site_fract_y
_atom_site_fract_z
Cd1 0.000 0.000 0.000
Hg1 0.500 0.500 0.000
H1 0.500 0.500 0.500
Rh1 0.000 0.500 0.500
```

---

Entry 3:
Density functional theory data (PBE-GGA) for an optimized crystal structure of CdHgHRh2.

Output
DOS(E_F): 0.704 states/eV per atom
volume: 70.62 Å³ per cell
offset from the most stable computed form: 0.000 eV per atom

Geometry as CIF:
```
data_CdHgHRh2
_cell_length_a 4.103
_cell_length_b 4.103
_cell_length_c 4.195
_cell_angle_alpha 90.00
_cell_angle_beta 90.00
_cell_angle_gamma 90.00
_space_group_name_H-M_alt 'P 4/m m m'
_space_group_IT_number 123
_space_group_name_Hall '-P 4 2'
loop_
_atom_site_label
_atom_site_fract_x
_atom_site_fract_y
_atom_site_fract_z
Cd1 0.000 0.000 0.000
Hg1 0.500 0.500 0.000
H1 0.000 0.000 0.500
Rh1 0.000 0.500 0.500
```

---

Entry 4:
Density functional theory data (PBE-GGA) for an optimized crystal structure of Sc2CdHgH.

Output
DOS(E_F): 0.732 states/eV per atom
volume: 88.82 Å³ per cell
offset from the most stable computed form: 0.045 eV per atom

Geometry as CIF:
```
data_Sc2CdHgH
_cell_length_a 4.437
_cell_length_b 4.437
_cell_length_c 4.512
_cell_angle_alpha 90.00
_cell_angle_beta 90.00
_cell_angle_gamma 90.00
_space_group_name_H-M_alt 'P 4/m m m'
_space_group_IT_number 123
_space_group_name_Hall '-P 4 2'
loop_
_atom_site_label
_atom_site_fract_x
_atom_site_fract_y
_atom_site_fract_z
Sc1 0.000 0.500 0.000
Cd1 0.000 0.000 0.500
Hg1 0.500 0.500 0.500
H1 0.500 0.500 0.000
```

---

Entry 5:
Density functional theory data (PBE-GGA) for an optimized crystal structure of Sc2CdHgH.

Output
DOS(E_F): 0.721 states/eV per atom
volume: 87.75 Å³ per cell
offset from the most stable computed form: 0.000 eV per atom

Geometry as CIF:
```
data_Sc2CdHgH
_cell_length_a 4.432
_cell_length_b 4.432
_cell_length_c 4.467
_cell_angle_alpha 90.00
_cell_angle_beta 90.00
_cell_angle_gamma 90.00
_space_group_name_H-M_alt 'P 4/m m m'
_space_group_IT_number 123
_space_group_name_Hall '-P 4 2'
loop_
_atom_site_label
_atom_site_fract_x
_atom_site_fract_y
_atom_site_fract_z
Sc1 0.000 0.500 0.000
Cd1 0.000 0.000 0.500
Hg1 0.500 0.500 0.500
H1 0.000 0.000 0.000
```

---

Entry 6:
Density functional theory data (PBE-GGA) for an optimized crystal structure of ScCd2HgH.

Output
DOS(E_F): 0.259 states/eV per atom
volume: 89.44 Å³ per cell
VASP energy: -2.5000 eV per atom

Geometry as CIF:
```
data_ScCd2HgH
_cell_length_a 4.651
_cell_length_b 4.651
_cell_length_c 4.135
_cell_angle_alpha 90.00
_cell_angle_beta 90.00
_cell_angle_gamma 90.00
_space_group_name_H-M_alt 'P 4/m m m'
_space_group_IT_number 123
_space_group_name_Hall '-P 4 2'
loop_
_atom_site_label
_atom_site_fract_x
_atom_site_fract_y
_atom_site_fract_z
Sc1 0.000 0.000 0.000
Cd1 0.000 0.500 0.500
Hg1 0.500 0.500 0.000
H1 0.000 0.000 0.500
```

---

Entry 7:
Density functional theory data (PBE-GGA) for an optimized crystal structure of Cd2SnHgH.

Output
DOS(E_F): 0.255 states/eV per atom
volume: 126.98 Å³ per cell
VASP energy: -1.6959 eV per atom

Geometry as CIF:
```
data_Cd2SnHgH
_cell_length_a 5.717
_cell_length_b 5.717
_cell_length_c 3.885
_cell_angle_alpha 90.00
_cell_angle_beta 90.00
_cell_angle_gamma 90.00
_space_group_name_H-M_alt 'P 4/m m m'
_space_group_IT_number 123
_space_group_name_Hall '-P 4 2'
loop_
_atom_site_label
_atom_site_fract_x
_atom_site_fract_y
_atom_site_fract_z
Cd1 0.000 0.500 0.000
Sn1 0.000 0.000 0.000
Hg1 0.500 0.500 0.500
H1 0.000 0.000 0.500
```

---

Entry 8:
Density functional theory data (PBE-GGA) for an optimized crystal structure of SrCdHgH.

Output
DOS(E_F): 0.414 states/eV per atom
volume: 182.34 Å³ per cell
VASP energy: -1.9527 eV per atom

Geometry as CIF:
```
data_SrCdHgH
_cell_length_a 4.540
_cell_length_b 4.540
_cell_length_c 8.846
_cell_angle_alpha 90.00
_cell_angle_beta 90.00
_cell_angle_gamma 90.00
_space_group_name_H-M_alt 'P 4/n m m'
_space_group_IT_number 129
loop_
_space_group_symop_operation_xyz
'x,y,z'
'-x,-y,-z'
'-y+1/2,x,z'
'y+1/2,-x,-z'
'-x+1/2,-y+1/2,z'
'x+1/2,y+1/2,-z'
'y,-x+1/2,z'
'-y,x+1/2,-z'
'x+1/2,-y,-z'
'-x+1/2,y,z'
'-y,-x,-z'
'y,x,z'
'-x,y+1/2,-z'
'x,-y+1/2,z'
'y+1/2,x+1/2,-z'
'-y+1/2,-x+1/2,z'
loop_
_atom_site_label
_atom_site_fract_x
_atom_site_fract_y
_atom_site_fract_z
Sr1 0.250 0.250 0.131
Cd1 0.250 0.750 0.500
Hg1 0.250 0.250 0.718
H1 0.250 0.750 0.000
```

---

Entry 9:
Density functional theory data (PBE-GGA) for an optimized crystal structure of SrCd2HgH.

Output
DOS(E_F): 0.205 states/eV per atom
volume: 113.42 Å³ per cell
VASP energy: -1.5866 eV per atom

Geometry as CIF:
```
data_SrCd2HgH
_cell_length_a 4.857
_cell_length_b 4.857
_cell_length_c 4.808
_cell_angle_alpha 90.00
_cell_angle_beta 90.00
_cell_angle_gamma 90.00
_space_group_name_H-M_alt 'P 4/m m m'
_space_group_IT_number 123
_space_group_name_Hall '-P 4 2'
loop_
_atom_site_label
_atom_site_fract_x
_atom_site_fract_y
_atom_site_fract_z
Sr1 0.000 0.000 0.000
Cd1 0.000 0.500 0.500
Hg1 0.500 0.500 0.000
H1 0.000 0.000 0.500
```

---

Entry 10:
Density functional theory data (PBE-GGA) for an optimized crystal structure of TaCdHgH.

Output
DOS(E_F): 0.276 states/eV per atom
volume: 193.76 Å³ per cell
offset from the most stable computed form: 0.000 eV per atom

Geometry as CIF:
```
data_TaCdHgH
_cell_length_a 3.1951
_cell_length_b 3.1951
_cell_length_c 21.9159
_cell_angle_alpha 90.00
_cell_angle_beta 90.00
_cell_angle_gamma 120.00
_space_group_name_H-M_alt 'R 3 m'
_space_group_IT_number 160
_space_group_name_Hall 'R 3 -2"'
loop_
_atom_site_label
_atom_site_fract_x
_atom_site_fract_y
_atom_site_fract_z
Ta1 0.0000 0.0000 0.0000
Cd1 0.0000 0.0000 0.7782
Hg1 0.0000 0.0000 0.5577
H1 0.0000 0.0000 0.3396
```

---

Entry 11:
Density functional theory data (PBE-GGA) for an optimized crystal structure of TaCdHgH.

Output
DOS(E_F): 0.583 states/eV per atom
volume: 74.71 Å³ per cell
offset from the most stable computed form: 0.156 eV per atom

Geometry as CIF:
```
data_TaCdHgH
_cell_length_a 5.177
_cell_length_b 2.823
_cell_length_c 5.269
_cell_angle_alpha 90.00
_cell_angle_beta 104.05
_cell_angle_gamma 90.00
_space_group_name_H-M_alt 'P 1 m 1'
_space_group_IT_number 6
loop_
_space_group_symop_operation_xyz
'x,y,z'
'x,-y,z'
loop_
_atom_site_label
_atom_site_fract_x
_atom_site_fract_y
_atom_site_fract_z
Ta1 0.000 0.000 0.000
Cd1 0.100 0.500 0.514
Hg1 0.513 0.500 0.098
H1 0.796 0.500 0.779
```

---

Entry 12:
Density functional theory data (PBE-GGA) for an optimized crystal structure of TaCdHgH.

Output
DOS(E_F): 0.414 states/eV per atom
volume: 70.95 Å³ per cell
offset from the most stable computed form: 0.259 eV per atom

Geometry as CIF:
```
data_TaCdHgH
_cell_length_a 2.960
_cell_length_b 2.960
_cell_length_c 8.095
_cell_angle_alpha 90.00
_cell_angle_beta 90.00
_cell_angle_gamma 90.00
_space_group_name_H-M_alt 'P 4 m m'
_space_group_IT_number 99
loop_
_space_group_symop_operation_xyz
'x,y,z'
'-y,x,z'
'-x,-y,z'
'y,-x,z'
'-x,y,z'
'y,x,z'
'x,-y,z'
'-y,-x,z'
loop_
_atom_site_label
_atom_site_fract_x
_atom_site_fract_y
_atom_site_fract_z
Ta1 0.000 0.000 0.000
Cd1 0.500 0.500 0.730
Hg1 0.500 0.500 0.272
H1 0.500 0.500 0.496
```

---

Entry 13:
Density functional theory data (PBE-GGA) for an optimized crystal structure of TaCdHgH.

Output
DOS(E_F): 0.671 states/eV per atom
volume: 140.88 Å³ per cell
offset from the most stable computed form: 0.276 eV per atom

Geometry as CIF:
```
data_TaCdHgH
_cell_length_a 4.758
_cell_length_b 3.542
_cell_length_c 8.364
_cell_angle_alpha 90.00
_cell_angle_beta 91.77
_cell_angle_gamma 90.00
_space_group_name_H-M_alt 'C 1 m 1'
_space_group_IT_number 8
loop_
_space_group_symop_operation_xyz
'x,y,z'
'x,-y,z'
'x+1/2,y+1/2,z'
'x+1/2,-y+1/2,z'
loop_
_atom_site_label
_atom_site_fract_x
_atom_site_fract_y
_atom_site_fract_z
Ta1 0.000 0.000 0.000
Cd1 0.046 0.500 0.277
Hg1 0.089 0.500 0.720
H1 0.045 0.500 0.503
```

---

Entry 14:
Density functional theory data (PBE-GGA) for an optimized crystal structure of TaCdHgH.

Output
DOS(E_F): 0.321 states/eV per atom
volume: 128.47 Å³ per cell
offset from the most stable computed form: 0.000 eV per atom

Geometry as CIF:
```
data_TaCdHgH
_cell_length_a 5.485
_cell_length_b 3.190
_cell_length_c 7.567
_cell_angle_alpha 90.00
_cell_angle_beta 104.04
_cell_angle_gamma 90.00
_space_group_name_H-M_alt 'C 1 m 1'
_space_group_IT_number 8
loop_
_space_group_symop_operation_xyz
'x,y,z'
'x,-y,z'
'x+1/2,y+1/2,z'
'x+1/2,-y+1/2,z'
loop_
_atom_site_label
_atom_site_fract_x
_atom_site_fract_y
_atom_site_fract_z
Ta1 0.000 0.000 0.000
Cd1 0.447 0.000 0.339
Hg1 0.226 0.000 0.677
H1 0.181 0.500 0.045
```

---

Entry 15:
Density functional theory data (PBE-GGA) for an optimized crystal structure of TaCdHgH.

Output
DOS(E_F): 0.595 states/eV per atom
volume: 131.06 Å³ per cell
offset from the most stable computed form: 0.232 eV per atom

Geometry as CIF:
```
data_TaCdHgH
_cell_length_a 3.114
_cell_length_b 3.005
_cell_length_c 14.003
_cell_angle_alpha 90.00
_cell_angle_beta 90.00
_cell_angle_gamma 90.00
_space_group_name_H-M_alt 'A m m 2'
_space_group_IT_number 38
loop_
_space_group_symop_operation_xyz
'x,y,z'
'-x,-y,z'
'-x,y,z'
'x,-y,z'
'x,y+1/2,z+1/2'
'-x,-y+1/2,z+1/2'
'-x,y+1/2,z+1/2'
'x,-y+1/2,z+1/2'
loop_
_atom_site_label
_atom_site_fract_x
_atom_site_fract_y
_atom_site_fract_z
Ta1 0.000 0.000 0.000
Cd1 0.500 0.000 0.661
Hg1 0.500 0.000 0.346
H1 0.000 0.000 0.128
```

---

Entry 16:
Density functional theory data (PBE-GGA) for an optimized crystal structure of TaCdHgH.

Output
DOS(E_F): 0.218 states/eV per atom
volume: 134.22 Å³ per cell
offset from the most stable computed form: 0.219 eV per atom

Geometry as CIF:
```
data_TaCdHgH
_cell_length_a 3.139
_cell_length_b 4.199
_cell_length_c 10.185
_cell_angle_alpha 90.00
_cell_angle_beta 90.00
_cell_angle_gamma 90.00
_space_group_name_H-M_alt 'A m m 2'
_space_group_IT_number 38
loop_
_space_group_symop_operation_xyz
'x,y,z'
'-x,-y,z'
'-x,y,z'
'x,-y,z'
'x,y+1/2,z+1/2'
'-x,-y+1/2,z+1/2'
'-x,y+1/2,z+1/2'
'x,-y+1/2,z+1/2'
loop_
_atom_site_label
_atom_site_fract_x
_atom_site_fract_y
_atom_site_fract_z
Ta1 0.000 0.000 0.000
Cd1 0.500 0.000 0.633
Hg1 0.000 0.000 0.297
H1 0.500 0.000 0.899
```

---

Entry 17:
Density functional theory data (PBE-GGA) for an optimized crystal structure of TaCdHgH.

Output
DOS(E_F): 0.731 states/eV per atom
volume: 77.19 Å³ per cell
offset from the most stable computed form: 0.250 eV per atom

Geometry as CIF:
```
data_TaCdHgH
_cell_length_a 5.203
_cell_length_b 2.863
_cell_length_c 5.284
_cell_angle_alpha 90.00
_cell_angle_beta 101.26
_cell_angle_gamma 90.00
_space_group_name_H-M_alt 'P 1 m 1'
_space_group_IT_number 6
loop_
_space_group_symop_operation_xyz
'x,y,z'
'x,-y,z'
loop_
_atom_site_label
_atom_site_fract_x
_atom_site_fract_y
_atom_site_fract_z
Ta1 0.000 0.000 0.000
Cd1 0.011 0.500 0.503
Hg1 0.502 0.500 0.024
H1 0.739 0.000 0.720
```

---

Entry 18:
Density functional theory data (PBE-GGA) for an optimized crystal structure of CdTcHg2H.

Output
DOS(E_F): 0.599 states/eV per atom
volume: 156.70 Å³ per cell
VASP energy: -1.9480 eV per atom

Geometry as CIF:
```
data_CdTcHg2H
_cell_length_a 5.381
_cell_length_b 5.381
_cell_length_c 5.411
_cell_angle_alpha 90.00
_cell_angle_beta 90.00
_cell_angle_gamma 90.00
_space_group_name_H-M_alt 'P 4/m m m'
_space_group_IT_number 123
_space_group_name_Hall '-P 4 2'
loop_
_atom_site_label
_atom_site_fract_x
_atom_site_fract_y
_atom_site_fract_z
Cd1 0.000 0.000 0.000
Tc1 0.000 0.000 0.500
Hg1 0.000 0.500 0.500
H1 0.500 0.500 0.000
```

---

Entry 19:
Density functional theory data (PBE-GGA) for an optimized crystal structure of Cd2HgTeH.

Output
DOS(E_F): 0.467 states/eV per atom
volume: 108.58 Å³ per cell
VASP energy: -1.4849 eV per atom

Geometry as CIF:
```
data_Cd2HgTeH
_cell_length_a 5.030
_cell_length_b 5.030
_cell_length_c 4.291
_cell_angle_alpha 90.00
_cell_angle_beta 90.00
_cell_angle_gamma 90.00
_space_group_name_H-M_alt 'P 4/m m m'
_space_group_IT_number 123
_space_group_name_Hall '-P 4 2'
loop_
_atom_site_label
_atom_site_fract_x
_atom_site_fract_y
_atom_site_fract_z
Cd1 0.000 0.500 0.000
Hg1 0.000 0.000 0.500
Te1 0.500 0.500 0.500
H1 0.000 0.000 0.000
```

---

Entry 20:
Density functional theory data (PBE-GGA) for an optimized crystal structure of TlCd2HgH.

Output
DOS(E_F): 0.237 states/eV per atom
volume: 109.60 Å³ per cell
offset from the most stable computed form: 0.000 eV per atom

Geometry as CIF:
```
data_TlCd2HgH
_cell_length_a 4.499
_cell_length_b 4.499
_cell_length_c 5.415
_cell_angle_alpha 90.00
_cell_angle_beta 90.00
_cell_angle_gamma 90.00
_space_group_name_H-M_alt 'P 4/m m m'
_space_group_IT_number 123
_space_group_name_Hall '-P 4 2'
loop_
_atom_site_label
_atom_site_fract_x
_atom_site_fract_y
_atom_site_fract_z
Tl1 0.000 0.000 0.000
Cd1 0.000 0.500 0.500
Hg1 0.500 0.500 0.000
H1 0.000 0.000 0.500
```